[1]
This record from Alexandria describes an optimized crystal structure of Cs3K2Au. The functional is PBE.

Computed properties:
- formation enthalpy at 0 K (eV per atom) = -0.104
- total energy (eV/atom) = -1.44

Cell lengths 24.8966, 7.5514, 10.0366 Å; angles 90.00, 101.35, 90.00 degrees
Space group C2/c (No. 15)
One atom of each set of equivalent atoms:
Cs 0.0000 0.0025 0.2500 (multiplicity 4)
Cs 0.1033 0.5003 0.0504 (multiplicity 8)
K 0.2162 0.0002 0.1094 (multiplicity 8)
Au 0.0000 0.4967 0.7500 (multiplicity 4)

[2]
This record from Alexandria describes an optimized crystal structure of AcLaHgI. The functional is PBE.

Computed properties:
- raw formation energy (meV per atom) = -587
- total energy (eV/atom) = -3.31

Cell lengths 8.0758, 8.0758, 8.0758 Å; angles 90.00, 90.00, 90.00 degrees
Space group F-43m (No. 216)
One atom of each set of equivalent atoms:
Ac 0.0000 0.0000 0.0000 (multiplicity 4)
La 0.0000 0.0000 0.5000 (multiplicity 4)
Hg 0.2500 0.2500 0.2500 (multiplicity 4)
I 0.2500 0.2500 0.7500 (multiplicity 4)

[3]
This record from Alexandria describes an optimized crystal structure of ThGa3Ag3. The functional is PBE.

Computed properties:
- formation enthalpy at 0 K (eV per atom) = -0.189
- total energy (eV/atom) = -3.77

Cell lengths 7.3612, 4.4729, 9.0020 Å; angles 90.00, 109.24, 90.00 degrees
Space group P2_1/m (No. 11)
One atom of each set of equivalent atoms:
Th 0.1001 0.2500 0.3436 (multiplicity 2)
Ga 0.0280 0.2500 0.9265 (multiplicity 2)
Ga 0.2912 0.7500 0.5832 (multiplicity 2)
Ga 0.4137 0.7500 0.3365 (multiplicity 2)
Ag 0.2657 0.2500 0.7488 (multiplicity 2)
Ag 0.2891 0.7500 0.9690 (multiplicity 2)
Ag 0.4100 0.2500 0.1580 (multiplicity 2)

[4]
This record from Alexandria describes an optimized crystal structure of HoZr2. The functional is PBE.

Computed properties:
- formation enthalpy at 0 K (eV per atom) = 0.098
- total energy (eV/atom) = -7.13

Cell lengths 3.2260, 3.2260, 14.6145 Å; angles 90.00, 90.00, 90.00 degrees
Space group I4/mmm (No. 139)
One atom of each set of equivalent atoms:
Ho 0.0000 0.0000 0.0000 (multiplicity 2)
Zr 0.0000 0.0000 0.3257 (multiplicity 4)

[5]
This record from Alexandria describes an optimized crystal structure of TaAl3. The functional is PBE.

Computed properties:
- formation enthalpy at 0 K (eV per atom) = -0.030
- total energy (eV/atom) = -5.80

Cell lengths 2.9486, 2.9486, 8.9984 Å; angles 90.00, 90.00, 120.00 degrees
Space group P-6m2 (No. 187)
One atom of each set of equivalent atoms:
Ta 0.0000 0.0000 0.0000 (multiplicity 1)
Al 0.0000 0.0000 0.5000 (multiplicity 1)
Al 0.3333 0.6667 0.2502 (multiplicity 2)

[6]
This record from Alexandria describes an optimized crystal structure of Dy3Ge2Ir2. The functional is PBE.

Computed properties:
- formation enthalpy at 0 K (eV per atom) = -0.902
- total energy (eV/atom) = -6.73

Cell lengths 5.6149, 7.8219, 13.3306 Å; angles 90.00, 90.00, 90.00 degrees
Space group Pbcm (No. 57)
One atom of each set of equivalent atoms:
Dy 0.1238 0.2422 0.2500 (multiplicity 4)
Dy 0.3555 0.6060 0.1003 (multiplicity 8)
Ge 0.1504 0.2500 0.0000 (multiplicity 4)
Ge 0.3761 0.6082 0.7500 (multiplicity 4)
Ir 0.1337 0.5417 0.5925 (multiplicity 8)

Question: The highest total energy belongs to which entry?
Answer: Cs3K2Au